MgInRh | meta-GGA SCAN | PBEsol geometry

Calculated values
Energy relative to the elements   -0.186 eV per atom
Magnetic moment   0.0 μB/f.u.
E   -0.890 hartree per atom

Unit cell a=3.0759 b=3.0759 c=6.6824 alpha=90.00 beta=90.00 gamma=120.00
Fractional coordinates of all 3 atoms:
Rh: 0.3333 0.6667 0.3383
Mg: 0.6667 0.3333 0.6332
In: 0.0000 0.0000 0.0285